[1]
DFT (PBE-GGA) results for a geometry-optimized TbPmAl structure.

Lattice parameters (Å, degrees): 4.7754 4.7754 7.6394 90.00 90.00 90.00
Last column: nearest neighbours and their distance in Å.
Atoms (fractional coordinates):
Tb  0.2500  0.2500  0.2469  4 Al 3.04, 4 Pm 3.39
Tb  0.7500  0.7500  0.7531  4 Al 3.04, 4 Pm 3.39
Pm  0.2500  0.2500  0.7182  4 Al 3.22, 5 Tb 3.39-3.60
Pm  0.7500  0.7500  0.2818  4 Al 3.22, 5 Tb 3.39-3.60
Al  0.2500  0.7500  0.0000  4 Tb 3.04, 4 Pm 3.22, 4 Al 3.38
Al  0.7500  0.2500  0.0000  4 Tb 3.04, 4 Pm 3.22, 4 Al 3.38

Energy above the lowest structure with this stoichiometry   135 meV per atom
Symmetry   No. 129

***

[2]
DFT (PBE-GGA) results for a geometry-optimized Ca2MoH structure.

Lattice parameters (Å, degrees): 6.9218 6.9218 7.4886 90.00 90.00 90.00
Last column: nearest neighbours and their distance in Å.
Atoms (fractional coordinates):
Ca  0.1469  0.2500  0.1250  2 H 2.21
Ca  0.2500  0.6469  0.3750  2 H 2.21
Ca  0.2500  0.8531  0.8750  2 H 2.21
Ca  0.3531  0.2500  0.6250  2 H 2.21
Ca  0.6469  0.7500  0.6250  2 H 2.21
Ca  0.7500  0.1469  0.8750  2 H 2.21
Ca  0.7500  0.3531  0.3750  2 H 2.21
Ca  0.8531  0.7500  0.1250  2 H 2.21
Mo  0.0000  0.0000  0.5000  8 Ca 3.14-3.45
Mo  0.0000  0.5000  0.7500  8 Ca 3.14-3.45
Mo  0.5000  0.0000  0.2500  8 Ca 3.14-3.45
Mo  0.5000  0.5000  0.0000  8 Ca 3.14-3.45
H  0.0000  0.0000  0.0000  4 Ca 2.21
H  0.0000  0.5000  0.2500  4 Ca 2.21
H  0.5000  0.0000  0.7500  4 Ca 2.21
H  0.5000  0.5000  0.5000  4 Ca 2.21

Energy above the lowest structure with this stoichiometry   0 meV per atom
Symmetry   No. 122

***

[3]
DFT (PBE-GGA) results for a geometry-optimized CoPRh structure.

Lattice parameters (Å, degrees): 5.6003 5.6003 5.6003 90.00 90.00 90.00
Last column: nearest neighbours and their distance in Å.
Atoms (fractional coordinates):
Co  0.0000  0.0000  0.0000  4 Rh 2.43
Co  0.0000  0.5000  0.5000  4 Rh 2.43
Co  0.5000  0.0000  0.5000  4 Rh 2.43
Co  0.5000  0.5000  0.0000  4 Rh 2.43
P  0.0000  0.0000  0.5000  4 Rh 2.43
P  0.0000  0.5000  0.0000  4 Rh 2.43
P  0.5000  0.0000  0.0000  4 Rh 2.43
P  0.5000  0.5000  0.5000  4 Rh 2.43
Rh  0.2500  0.2500  0.7500  4 Co 2.43, 4 P 2.43
Rh  0.2500  0.7500  0.2500  4 Co 2.43, 4 P 2.43
Rh  0.7500  0.2500  0.2500  4 Co 2.43, 4 P 2.43
Rh  0.7500  0.7500  0.7500  4 Co 2.43, 4 P 2.43

Symmetry   No. 216
E   -6.645 eV/atom

***

[4]
DFT (PBE-GGA) results for a geometry-optimized Al4ZnAg structure.

Lattice parameters (Å, degrees): 14.0176 3.0382 4.9564 90.00 109.62 90.00
Last column: nearest neighbours and their distance in Å.
Atoms (fractional coordinates):
Al  0.1664  0.0000  0.3395  1 Zn 2.71, 7 Al 2.74-2.93, 2 Ag 2.82
Al  0.1678  0.5000  0.8361  1 Ag 2.73, 9 Al 2.74-3.04, 2 Zn 2.83
Al  0.3322  0.0000  0.1639  1 Ag 2.73, 9 Al 2.74-3.04, 2 Zn 2.83
Al  0.3336  0.5000  0.6605  1 Zn 2.71, 7 Al 2.74-2.93, 2 Ag 2.82
Al  0.6664  0.5000  0.3395  1 Zn 2.71, 7 Al 2.74-2.93, 2 Ag 2.82
Al  0.6678  0.0000  0.8361  1 Ag 2.73, 9 Al 2.74-3.04, 2 Zn 2.83
Al  0.8322  0.5000  0.1639  1 Ag 2.73, 9 Al 2.74-3.04, 2 Zn 2.83
Al  0.8336  0.0000  0.6605  1 Zn 2.71, 7 Al 2.74-2.93, 2 Ag 2.82
Zn  0.0000  0.0000  0.5000  6 Al 2.71-2.83, 4 Ag 2.91
Zn  0.5000  0.5000  0.5000  6 Al 2.71-2.83, 4 Ag 2.91
Ag  0.0000  0.5000  0.0000  6 Al 2.73-2.82, 4 Zn 2.91, 2 Ag 3.04
Ag  0.5000  0.0000  0.0000  6 Al 2.73-2.82, 4 Zn 2.91, 2 Ag 3.04

Energy above the lowest structure with this stoichiometry   0 meV per atom
Symmetry   No. 12

***

[5]
DFT (PBE-GGA) results for a geometry-optimized TiCd2F structure.

Lattice parameters (Å, degrees): 6.8185 6.8185 6.8185 90.00 90.00 90.00
Last column: nearest neighbours and their distance in Å.
Atoms (fractional coordinates):
Ti  0.0000  0.0000  0.0000  8 Cd 2.95
Ti  0.0000  0.5000  0.5000  8 Cd 2.95
Ti  0.5000  0.0000  0.5000  8 Cd 2.95
Ti  0.5000  0.5000  0.0000  8 Cd 2.95
Cd  0.2500  0.2500  0.2500  4 F 2.95, 4 Ti 2.95
Cd  0.2500  0.2500  0.7500  4 F 2.95, 4 Ti 2.95
Cd  0.2500  0.7500  0.2500  4 F 2.95, 4 Ti 2.95
Cd  0.2500  0.7500  0.7500  4 F 2.95, 4 Ti 2.95
Cd  0.7500  0.2500  0.2500  4 F 2.95, 4 Ti 2.95
Cd  0.7500  0.2500  0.7500  4 F 2.95, 4 Ti 2.95
Cd  0.7500  0.7500  0.2500  4 F 2.95, 4 Ti 2.95
Cd  0.7500  0.7500  0.7500  4 F 2.95, 4 Ti 2.95
F  0.0000  0.0000  0.5000  8 Cd 2.95
F  0.0000  0.5000  0.0000  8 Cd 2.95
F  0.5000  0.0000  0.0000  8 Cd 2.95
F  0.5000  0.5000  0.5000  8 Cd 2.95

Energy above the lowest structure with this stoichiometry   298 meV per atom
Symmetry   No. 225
Uncorrected formation energy   -0.125 eV/atom

***

[6]
DFT (PBE-GGA) results for a geometry-optimized TeCl3 structure.

Lattice parameters (Å, degrees): 5.6416 5.6416 5.6416 90.00 90.00 90.00
Last column: nearest neighbours and their distance in Å.
Atoms (fractional coordinates):
Te  0.0000  0.0000  0.0000  12 Cl 3.15
Te  0.5000  0.5000  0.5000  12 Cl 3.15
Cl  0.0000  0.2500  0.5000  2 Cl 2.82, 4 Te 3.15
Cl  0.0000  0.7500  0.5000  2 Cl 2.82, 4 Te 3.15
Cl  0.2500  0.5000  0.0000  2 Cl 2.82, 4 Te 3.15
Cl  0.5000  0.0000  0.2500  2 Cl 2.82, 4 Te 3.15
Cl  0.5000  0.0000  0.7500  2 Cl 2.82, 4 Te 3.15
Cl  0.7500  0.5000  0.0000  2 Cl 2.82, 4 Te 3.15

Energy above the lowest structure with this stoichiometry   705 meV per atom
Symmetry   No. 223
Uncorrected formation energy   0.286 eV/atom

***

[7]
DFT (PBE-GGA) results for a geometry-optimized Pa2NiWN5 structure.

Lattice parameters (Å, degrees): 6.8629 6.8629 9.8776 90.00 90.00 152.80
Last column: nearest neighbours and their distance in Å.
Atoms (fractional coordinates):
Pa  0.1084  0.8916  0.5000  6 N 2.35-2.44
Pa  0.1341  0.8659  0.1304  7 N 2.35-2.52
Pa  0.8659  0.1341  0.6304  7 N 2.35-2.52
Pa  0.8916  0.1084  0.0000  6 N 2.35-2.44
Ni  0.4489  0.5511  0.2677  4 N 1.92-2.03
Ni  0.5511  0.4489  0.7677  4 N 1.92-2.03
W  0.1918  0.8082  0.8289  6 N 2.02-2.20
W  0.8082  0.1918  0.3289  6 N 2.02-2.20
N  0.0464  0.9536  0.8852  2 Ni 1.99, 1 W 2.02
N  0.2893  0.7107  0.4782  2 W 2.20, 3 Pa 2.42-2.43
N  0.3100  0.6900  0.1844  1 Ni 2.03, 2 W 2.15
N  0.3468  0.6532  0.8249  1 W 2.07
N  0.4906  0.5094  0.5909  1 Ni 1.92
N  0.5094  0.4906  0.0909  1 Ni 1.92
N  0.6532  0.3468  0.3249  1 W 2.07
N  0.6900  0.3100  0.6844  1 Ni 2.03, 2 W 2.15
N  0.7107  0.2893  0.9782  2 W 2.20, 3 Pa 2.42-2.43
N  0.9536  0.0464  0.3852  2 Ni 1.99, 1 W 2.02

Symmetry   No. 36
Uncorrected formation energy   -0.922 eV/atom

***

[8]
DFT (PBE-GGA) results for a geometry-optimized ErSeCl structure.

Lattice parameters (Å, degrees): 6.7274 6.7274 6.7274 90.00 90.00 90.00
Last column: nearest neighbours and their distance in Å.
Atoms (fractional coordinates):
Er  0.0000  0.0000  0.0000  4 Cl 2.91, 4 Se 2.91
Er  0.0000  0.5000  0.5000  4 Cl 2.91, 4 Se 2.91
Er  0.5000  0.0000  0.5000  4 Cl 2.91, 4 Se 2.91
Er  0.5000  0.5000  0.0000  4 Cl 2.91, 4 Se 2.91
Se  0.2500  0.2500  0.7500  4 Er 2.91
Se  0.2500  0.7500  0.2500  4 Er 2.91
Se  0.7500  0.2500  0.2500  4 Er 2.91
Se  0.7500  0.7500  0.7500  4 Er 2.91
Cl  0.2500  0.2500  0.2500  4 Er 2.91
Cl  0.2500  0.7500  0.7500  4 Er 2.91
Cl  0.7500  0.2500  0.7500  4 Er 2.91
Cl  0.7500  0.7500  0.2500  4 Er 2.91

Energy above the lowest structure with this stoichiometry   180 meV per atom
Symmetry   No. 216
Uncorrected formation energy   -1.880 eV/atom

***

[9]
DFT (PBE-GGA) results for a geometry-optimized CsPtS2F structure.

Lattice parameters (Å, degrees): 4.6122 4.6122 5.3552 90.00 90.00 90.00
Last column: nearest neighbours and their distance in Å.
Atoms (fractional coordinates):
Cs  0.0000  0.0000  0.0000  2 F 2.68
Pt  0.5000  0.5000  0.0000  4 Cs 3.26, 8 S 3.53
S  0.0000  0.5000  0.5000  2 F 2.31
S  0.5000  0.0000  0.5000  2 F 2.31
F  0.0000  0.0000  0.5000  4 S 2.31

Symmetry   No. 123
Uncorrected formation energy   0.630 eV/atom

***

[10]
DFT (PBE-GGA) results for a geometry-optimized HfSc3Zn structure.

Lattice parameters (Å, degrees): 5.1859 5.1859 5.1859 90.00 90.00 90.00
Last column: nearest neighbours and their distance in Å.
Atoms (fractional coordinates):
Hf  0.0000  0.0000  0.0000  6 Sc 2.59
Sc  0.0000  0.0000  0.5000  2 Hf 2.59
Sc  0.0000  0.5000  0.0000  2 Hf 2.59
Sc  0.5000  0.0000  0.0000  2 Hf 2.59
Zn  0.5000  0.5000  0.5000  12 Sc 3.67

Energy above the lowest structure with this stoichiometry   391 meV per atom
Symmetry   No. 221

***

[11]
DFT (PBE-GGA) results for a geometry-optimized BaSrSe3 structure.

Lattice parameters (Å, degrees): 5.8891 5.8891 5.8891 90.00 90.00 90.00
Last column: nearest neighbours and their distance in Å.
Atoms (fractional coordinates):
Ba  0.0000  0.0000  0.0000  6 Se 2.94
Sr  0.5000  0.5000  0.5000  12 Se 4.16
Se  0.0000  0.0000  0.5000  2 Ba 2.94
Se  0.0000  0.5000  0.0000  2 Ba 2.94
Se  0.5000  0.0000  0.0000  2 Ba 2.94

Energy above the lowest structure with this stoichiometry   343 meV per atom
Symmetry   No. 221
Uncorrected formation energy   -0.673 eV/atom

***

[12]
DFT (PBE-GGA) results for a geometry-optimized K3ZrS structure.

Lattice parameters (Å, degrees): 6.4981 6.4981 6.4981 90.00 90.00 90.00
Last column: nearest neighbours and their distance in Å.
Atoms (fractional coordinates):
K  0.0000  0.0000  0.5000  2 Zr 3.25
K  0.0000  0.5000  0.0000  2 Zr 3.25
K  0.5000  0.0000  0.0000  2 Zr 3.25
Zr  0.0000  0.0000  0.0000  6 K 3.25
S  0.5000  0.5000  0.5000  12 K 4.59

Energy above the lowest structure with this stoichiometry   722 meV per atom
Symmetry   No. 221
Uncorrected formation energy   1.078 eV/atom

***

[13]
DFT (PBE-GGA) results for a geometry-optimized Hf2ScTaBi structure.

Lattice parameters (Å, degrees): 5.1412 5.1412 5.3872 90.00 90.00 90.00
Last column: nearest neighbours and their distance in Å.
Atoms (fractional coordinates):
Hf  0.0000  0.5000  0.0000  2 Ta 2.57
Hf  0.5000  0.0000  0.0000  2 Ta 2.57
Sc  0.0000  0.0000  0.5000  4 Bi 3.64, 8 Hf 3.72
Ta  0.5000  0.5000  0.0000  4 Hf 2.57, 2 Bi 2.69
Bi  0.5000  0.5000  0.5000  2 Ta 2.69

Symmetry   No. 123
E   -7.522 eV/atom

***

[14]
DFT (PBE-GGA) results for a geometry-optimized BaSb2Rh3 structure.

Lattice parameters (Å, degrees): 9.0785 9.0785 10.6450 105.86 105.86 27.53
Last column: nearest neighbours and their distance in Å.
Atoms (fractional coordinates):
Ba  0.0000  0.0000  0.0000  6 Sb 3.30-3.42, 6 Rh 3.43-3.47
Ba  0.1612  0.1612  0.7065  6 Sb 3.37-3.44, 9 Rh 3.44-3.75
Ba  0.8388  0.8388  0.2935  6 Sb 3.37-3.44, 9 Rh 3.44-3.75
Sb  0.1940  0.1940  0.1247  6 Rh 2.68-2.77
Sb  0.3585  0.3585  0.5448  7 Rh 2.56-2.78
Sb  0.4700  0.4700  0.2306  5 Rh 2.66-2.87
Sb  0.5300  0.5300  0.7694  5 Rh 2.66-2.87
Sb  0.6415  0.6415  0.4552  7 Rh 2.56-2.78
Sb  0.8060  0.8060  0.8753  6 Rh 2.68-2.77
Rh  0.0491  0.0491  0.3398  4 Sb 2.66-2.78, 1 Rh 2.81
Rh  0.2147  0.2147  0.3925  4 Sb 2.60-2.77, 1 Rh 2.81
Rh  0.3208  0.3208  0.0322  4 Sb 2.68-2.87, 1 Rh 2.97
Rh  0.3739  0.3739  0.7910  4 Sb 2.56-2.83
Rh  0.5000  0.5000  0.5000  4 Sb 2.67-2.77
Rh  0.6261  0.6261  0.2090  4 Sb 2.56-2.83
Rh  0.6792  0.6792  0.9678  4 Sb 2.68-2.87, 1 Rh 2.97
Rh  0.7853  0.7853  0.6075  4 Sb 2.60-2.77, 1 Rh 2.81
Rh  0.9509  0.9509  0.6602  4 Sb 2.66-2.78, 1 Rh 2.81

Energy above the lowest structure with this stoichiometry   0 meV per atom
Symmetry   No. 12
Uncorrected formation energy   -0.558 eV/atom

***

[15]
DFT (PBE-GGA) results for a geometry-optimized Fe4CoSiB2 structure.

Lattice parameters (Å, degrees): 6.4341 6.4341 6.4341 129.87 129.87 73.62
Last column: nearest neighbours and their distance in Å.
Atoms (fractional coordinates):
Fe  0.0280  0.5280  0.8312  3 B 2.13-2.16, 2 Si 2.34
Fe  0.1969  0.0280  0.5000  3 B 2.13-2.16, 2 Si 2.34
Fe  0.3031  0.8031  0.8312  3 B 2.13-2.16, 2 Si 2.34
Fe  0.4720  0.3031  0.5000  3 B 2.13-2.16, 2 Si 2.34
Fe  0.5280  0.6969  0.5000  3 B 2.13-2.16, 2 Si 2.34
Fe  0.6969  0.1969  0.1688  3 B 2.13-2.16, 2 Si 2.34
Fe  0.8031  0.9720  0.5000  3 B 2.13-2.16, 2 Si 2.34
Fe  0.9720  0.4720  0.1688  3 B 2.13-2.16, 2 Si 2.34
Co  0.0000  0.0000  0.0000  4 B 2.16
Co  0.5000  0.5000  0.0000  4 B 2.16
Si  0.2500  0.2500  0.0000  8 Fe 2.34, 2 Co 2.58
Si  0.7500  0.7500  0.0000  8 Fe 2.34, 2 Co 2.58
B  0.1225  0.3775  0.5000  1 B 1.89
B  0.3775  0.8775  0.2551  1 B 1.89
B  0.6225  0.1225  0.7449  1 B 1.89
B  0.8775  0.6225  0.5000  1 B 1.89

Symmetry   No. 140
Uncorrected formation energy   -0.336 eV/atom

***

[16]
DFT (PBE-GGA) results for a geometry-optimized LaAl3V structure.

Lattice parameters (Å, degrees): 4.8231 4.8231 4.8231 90.00 90.00 90.00
Last column: nearest neighbours and their distance in Å.
Atoms (fractional coordinates):
La  0.0000  0.0000  0.0000  12 Al 3.41
Al  0.0000  0.5000  0.5000  2 V 2.41
Al  0.5000  0.0000  0.5000  2 V 2.41
Al  0.5000  0.5000  0.0000  2 V 2.41
V  0.5000  0.5000  0.5000  6 Al 2.41

Energy above the lowest structure with this stoichiometry   0 meV per atom
Symmetry   No. 221

***

[17]
DFT (PBE-GGA) results for a geometry-optimized La2PmYSe4 structure.

Lattice parameters (Å, degrees): 7.3222 4.1852 7.3731 90.00 109.00 90.00
Last column: nearest neighbours and their distance in Å.
Atoms (fractional coordinates):
La  0.0000  0.0000  0.0000  6 Se 3.06-3.07
La  0.5000  0.5000  0.0000  6 Se 3.02
Pm  0.0000  0.5000  0.5000  6 Se 2.96
Y  0.5000  0.0000  0.5000  6 Se 2.91-2.92
Se  0.2510  0.0000  0.7386  1 Y 2.92, 2 Pm 2.96, 3 La 3.02-3.07
Se  0.2598  0.5000  0.2648  2 Y 2.91, 1 Pm 2.96, 3 La 3.02-3.06
Se  0.7402  0.5000  0.7352  2 Y 2.91, 1 Pm 2.96, 3 La 3.02-3.06
Se  0.7490  0.0000  0.2614  1 Y 2.92, 2 Pm 2.96, 3 La 3.02-3.07

Symmetry   No. 10
Uncorrected formation energy   -1.903 eV/atom